Entry 1:
! NbTcPt2, relaxed, DFT PBE; values from VASP
&SYSTEM
  ibrav = 0, nat = 8, ntyp = 3
/
ATOMIC_SPECIES
Nb 92.91 Nb.upf
Tc 98.00 Tc.upf
Pt 195.08 Pt.upf
CELL_PARAMETERS angstrom
3.816 0.000 0.000
0.000 3.816 0.000
1.908 1.908 9.386
ATOMIC_POSITIONS angstrom
Nb 1.908 1.908 0.000
Nb 1.908 3.816 4.693
Tc 0.000 0.000 0.000
Tc 3.816 1.908 4.693
Pt 2.884 0.954 2.346
Pt 0.932 2.862 2.346
Pt 2.862 2.840 7.039
Pt 4.770 4.792 7.039
! **Polymorph energy (0 for the lowest one)**: 65.5 meV/atom

***

Entry 2:
! CsTl2Co, relaxed, DFT PBE; values from VASP
&SYSTEM
  ibrav = 0, nat = 8, ntyp = 3
/
ATOMIC_SPECIES
Cs 132.91 Cs.upf
Tl 204.38 Tl.upf
Co 58.93 Co.upf
CELL_PARAMETERS angstrom
-0.550 -5.203 -4.712
-4.129 -3.583 4.438
-7.916 -1.338 -2.860
ATOMIC_POSITIONS angstrom
Cs 0.000 0.000 0.000
Cs -5.403 -5.467 -3.855
Tl -2.702 -2.740 -1.933
Tl -4.765 -4.519 0.297
Tl -8.719 -5.190 -1.143
Tl -9.004 -7.800 -3.489
Co -2.339 -4.393 -0.137
Co -7.192 -4.657 0.721
! **Energy**: -11.46 eV/f.u.

***

Entry 3:
! Cs2TcClF6, relaxed, DFT PBE; values from VASP
&SYSTEM
  ibrav = 0, nat = 10, ntyp = 4
/
ATOMIC_SPECIES
Cs 132.91 Cs.upf
Tc 98.00 Tc.upf
Cl 35.45 Cl.upf
F 19.00 F.upf
CELL_PARAMETERS angstrom
7.994 0.904 1.136
4.788 6.445 0.786
5.027 2.608 5.764
ATOMIC_POSITIONS angstrom
Cs 8.362 4.885 2.578
Cs 5.266 2.637 4.998
Tc 4.300 2.458 0.904
Cl 13.205 7.436 4.748
F 5.950 2.970 1.782
F 3.729 1.572 2.496
F 11.475 4.987 2.624
F 9.897 5.951 5.077
F 10.145 3.440 6.084
F 7.676 4.554 5.791
! **Formation energy (no corrections)**: -22.687 eV/f.u.

***

Entry 4:
! BaScCr2, relaxed, DFT PBE; values from VASP
&SYSTEM
  ibrav = 0, nat = 4, ntyp = 3
/
ATOMIC_SPECIES
Sc 44.96 Sc.upf
Cr 52.00 Cr.upf
Ba 137.33 Ba.upf
CELL_PARAMETERS angstrom
0.210 -1.755 4.966
-0.593 3.367 4.012
-4.377 -0.140 2.934
ATOMIC_POSITIONS angstrom
Sc 0.000 0.000 0.000
Cr -1.190 0.368 2.978
Cr -3.569 1.104 8.934
Ba -2.380 0.736 5.956
! **Polymorph energy (0 for the lowest one)**: 350.9 meV/atom

***

Entry 5:
! Ge2IrPb2, relaxed, DFT PBE; values from VASP
&SYSTEM
  ibrav = 0, nat = 10, ntyp = 3
/
ATOMIC_SPECIES
Pb 207.20 Pb.upf
Ge 72.64 Ge.upf
Ir 192.22 Ir.upf
CELL_PARAMETERS angstrom
-4.241 -0.056 4.998
0.711 -6.495 0.530
3.914 0.700 3.329
ATOMIC_POSITIONS angstrom
Pb 1.679 -4.072 2.921
Pb -0.341 -5.018 5.495
Pb -1.296 -1.779 5.936
Pb 0.725 -0.833 3.362
Ge -0.911 -5.597 2.248
Ge -3.186 -4.214 4.632
Ge -2.620 -0.954 3.280
Ge -0.344 -2.338 0.897
Ir 0.000 0.000 0.000
Ir -1.765 -3.276 2.764
! **Energy**: -25.25 eV/f.u.

***

Entry 6:
! CsBBr2, relaxed, DFT PBE; values from VASP
&SYSTEM
  ibrav = 0, nat = 8, ntyp = 3
/
ATOMIC_SPECIES
Cs 132.91 Cs.upf
B 10.81 B.upf
Br 79.90 Br.upf
CELL_PARAMETERS angstrom
6.930 0.000 0.000
0.000 6.930 0.000
3.465 3.465 6.489
ATOMIC_POSITIONS angstrom
Cs 0.000 0.000 0.000
Cs 6.930 3.465 3.244
B 3.465 3.465 0.000
B 3.465 6.930 3.244
Br 4.074 1.732 1.622
Br 2.856 5.197 1.622
Br 5.197 6.321 4.867
Br 8.662 7.539 4.867
! **Formation energy (no corrections)**: -0.222 eV/f.u.
! **Polymorph energy (0 for the lowest one)**: 0.0 meV/atom

***

Entry 7:
! Gd2DyRu, relaxed, DFT PBE; values from VASP
&SYSTEM
  ibrav = 0, nat = 4, ntyp = 3
/
ATOMIC_SPECIES
Ru 101.07 Ru.upf
Gd 157.25 Gd.upf
Dy 162.50 Dy.upf
CELL_PARAMETERS angstrom
3.450 0.000 0.000
0.000 3.450 0.000
0.000 0.000 8.979
ATOMIC_POSITIONS angstrom
Ru 1.725 1.725 0.000
Gd 0.000 0.000 7.305
Gd 0.000 0.000 1.674
Dy 1.725 1.725 4.489
! **Polymorph energy (0 for the lowest one)**: 0.0 meV/atom

***

Entry 8:
! AgPt6W, relaxed, DFT PBE; values from VASP
&SYSTEM
  ibrav = 0, nat = 8, ntyp = 3
/
ATOMIC_SPECIES
Ag 107.87 Ag.upf
Pt 195.08 Pt.upf
W 183.84 W.upf
CELL_PARAMETERS angstrom
-2.945 -0.306 2.692
2.687 -0.836 2.844
0.681 7.701 1.621
ATOMIC_POSITIONS angstrom
Ag 0.000 0.000 0.000
Pt -0.129 -0.571 2.768
Pt 0.212 3.279 3.578
Pt -1.294 1.862 1.770
Pt -0.969 5.533 2.543
Pt 1.522 1.597 1.846
Pt 1.846 5.268 2.619
W 0.341 3.851 0.810
! **Energy**: -53.57 eV/f.u.